Ba2GaAsSe5: relaxed, PBE.

Structure (POSCAR):
```
Ba2GaAsSe5
1.0
9.100 0.000 0.000
0.000 9.414 0.000
0.000 0.000 12.896
Se Ba As Ga
20 8 4 4
Direct
0.750 0.603 0.288
0.046 0.831 0.057
0.250 0.603 0.276
0.750 0.397 0.724
0.250 0.397 0.712
0.454 0.669 0.557
0.546 0.169 0.943
0.750 0.897 0.788
0.954 0.169 0.943
0.454 0.831 0.057
0.546 0.331 0.443
0.750 0.960 0.512
0.250 0.460 0.988
0.750 0.540 0.012
0.046 0.669 0.557
0.250 0.897 0.776
0.250 0.103 0.212
0.250 0.040 0.488
0.954 0.331 0.443
0.750 0.103 0.224
0.005 0.633 0.826
0.995 0.367 0.174
0.995 0.133 0.674
0.495 0.867 0.326
0.505 0.367 0.174
0.005 0.867 0.326
0.505 0.133 0.674
0.495 0.633 0.826
0.750 0.506 0.462
0.250 0.006 0.038
0.250 0.494 0.538
0.750 0.994 0.962
0.750 0.165 0.404
0.250 0.665 0.096
0.250 0.835 0.596
0.750 0.335 0.904
```

Summary:
Energy relative to the elements, uncorrected in eV/atom: -1.183
Crystal system: orthorhombic
Total moment in μB/cell: 0.00
Energy in eV per atom: -4.3993
Calculated density in Mg/m³: 4.89